No. 1
Material: Zr2TlPt
Method: DFT, PBE-GGA
State: relaxed

## Properties
Energy of formation from the pure elements = -0.37 eV per atom
Distance to the lowest polymorph of the same formula = 2.90 kcal/mol of atoms

The structure in CIF format:
```
data_Zr2TlPt
_chemical_formula_sum 'Zr4 Tl2 Pt2'
_cell_length_a 4.122
_cell_length_b 4.122
_cell_length_c 9.778
_cell_angle_alpha 90.00
_cell_angle_beta 90.00
_cell_angle_gamma 90.00
_symmetry_space_group_name_H-M 'I -4 m 2'
_symmetry_Int_Tables_number 119
_symmetry_space_group_name_Hall 'I -4 -2'
loop_
_atom_site_label
_atom_site_type_symbol
_atom_site_fract_x
_atom_site_fract_y
_atom_site_fract_z
Zr1 Zr 0.000 0.000 0.000
Zr2 Zr 0.000 0.500 0.250
Tl1 Tl 0.000 0.000 0.500
Pt1 Pt 0.000 0.500 0.750
```

No. 2
Material: Tb19Dy6Er4
Method: DFT, PBE-GGA
State: relaxed

## Properties
Energy of formation from the pure elements = 0.38 eV per atom

The structure in CIF format:
```
data_Tb19Dy6Er4
_chemical_formula_sum 'Tb38 Dy12 Er8'
_cell_length_a 12.398
_cell_length_b 12.398
_cell_length_c 12.398
_cell_angle_alpha 90.00
_cell_angle_beta 90.00
_cell_angle_gamma 90.00
_symmetry_space_group_name_H-M 'I 2 3'
_symmetry_Int_Tables_number 197
_symmetry_space_group_name_Hall 'I 2 2 3'
loop_
_atom_site_label
_atom_site_type_symbol
_atom_site_fract_x
_atom_site_fract_y
_atom_site_fract_z
Tb1 Tb 0.000 0.000 0.000
Tb2 Tb 0.000 0.000 0.260
Tb3 Tb 0.063 0.279 0.739
Dy1 Dy 0.000 0.126 0.500
Er1 Er 0.179 0.179 0.179
```

No. 3
Material: Ce2TcBi
Method: DFT, PBE-GGA
State: relaxed

## Properties
Energy of formation from the pure elements = -0.19 eV per atom
Distance to the lowest polymorph of the same formula = 2.71 kcal/mol of atoms

The structure in CIF format:
```
data_Ce2TcBi
_chemical_formula_sum 'Ce6 Tc3 Bi3'
_cell_length_a 4.1772
_cell_length_b 4.1772
_cell_length_c 21.8929
_cell_angle_alpha 90.00
_cell_angle_beta 90.00
_cell_angle_gamma 120.00
_symmetry_space_group_name_H-M 'R -3 m'
_symmetry_Int_Tables_number 166
_symmetry_space_group_name_Hall '-R 3 2"'
loop_
_atom_site_label
_atom_site_type_symbol
_atom_site_fract_x
_atom_site_fract_y
_atom_site_fract_z
Ce1 Ce 0.0000 0.0000 0.2340
Tc1 Tc 0.0000 0.0000 0.5000
Bi1 Bi 0.0000 0.0000 0.0000
```

No. 4
Material: YGa4IrRu2
Method: DFT, PBE-GGA
State: relaxed

## Properties
Energy of formation from the pure elements = -0.45 eV per atom

The structure in CIF format:
```
data_YGa4IrRu2
_chemical_formula_sum 'Y3 Ga12 Ir3 Ru6'
_cell_length_a 4.2564
_cell_length_b 4.2564
_cell_length_c 25.4336
_cell_angle_alpha 90.00
_cell_angle_beta 90.00
_cell_angle_gamma 120.00
_symmetry_space_group_name_H-M 'R -3 m'
_symmetry_Int_Tables_number 166
_symmetry_space_group_name_Hall '-R 3 2"'
loop_
_atom_site_label
_atom_site_type_symbol
_atom_site_fract_x
_atom_site_fract_y
_atom_site_fract_z
Y1 Y 0.0000 0.0000 0.0000
Ga1 Ga 0.0000 0.0000 0.1306
Ga2 Ga 0.0000 0.0000 0.3990
Ir1 Ir 0.0000 0.0000 0.5000
Ru1 Ru 0.0000 0.0000 0.2389
```

No. 5
Material: NaLiNi2Sb
Method: DFT, PBE-GGA
State: relaxed

## Properties
Raw total energy = -3.3679 eV per atom

The structure in CIF format:
```
data_NaLiNi2Sb
_chemical_formula_sum 'Na1 Li1 Ni2 Sb1'
_cell_length_a 4.768
_cell_length_b 4.768
_cell_length_c 5.514
_cell_angle_alpha 90.00
_cell_angle_beta 90.00
_cell_angle_gamma 90.00
_symmetry_space_group_name_H-M 'P 4/m m m'
_symmetry_Int_Tables_number 123
_symmetry_space_group_name_Hall '-P 4 2'
loop_
_atom_site_label
_atom_site_type_symbol
_atom_site_fract_x
_atom_site_fract_y
_atom_site_fract_z
Na1 Na 0.000 0.000 0.000
Li1 Li 0.500 0.500 0.000
Ni1 Ni 0.000 0.500 0.500
Sb1 Sb 0.000 0.000 0.500
```

No. 6
Material: Bi3OsSe
Method: DFT, PBE-GGA
State: relaxed

## Properties
Distance to the lowest polymorph of the same formula = 20.81 kcal/mol of atoms

The structure in CIF format:
```
data_Bi3OsSe
_chemical_formula_sum 'Bi3 Os1 Se1'
_cell_length_a 5.420
_cell_length_b 5.420
_cell_length_c 5.420
_cell_angle_alpha 90.00
_cell_angle_beta 90.00
_cell_angle_gamma 90.00
_symmetry_space_group_name_H-M 'P m -3 m'
_symmetry_Int_Tables_number 221
_symmetry_space_group_name_Hall '-P 4 2 3'
loop_
_atom_site_label
_atom_site_type_symbol
_atom_site_fract_x
_atom_site_fract_y
_atom_site_fract_z
Bi1 Bi 0.000 0.000 0.500
Os1 Os 0.500 0.500 0.500
Se1 Se 0.000 0.000 0.000
```

No. 7
Material: ZrSc2H6
Method: DFT, PBE-GGA
State: relaxed

## Properties
Raw total energy = -5.2570 eV per atom

The structure in CIF format:
```
data_ZrSc2H6
_chemical_formula_sum 'Zr2 Sc4 H12'
_cell_length_a 10.583
_cell_length_b 4.806
_cell_length_c 3.351
_cell_angle_alpha 90.00
_cell_angle_beta 108.30
_cell_angle_gamma 90.00
_symmetry_space_group_name_H-M 'C 1 2/m 1'
_symmetry_Int_Tables_number 12
loop_
_symmetry_equiv_pos_as_xyz
'x,y,z'
'-x,-y,-z'
'-x,y,-z'
'x,-y,z'
'x+1/2,y+1/2,z'
'-x+1/2,-y+1/2,-z'
'-x+1/2,y+1/2,-z'
'x+1/2,-y+1/2,z'
loop_
_atom_site_label
_atom_site_type_symbol
_atom_site_fract_x
_atom_site_fract_y
_atom_site_fract_z
Zr1 Zr 0.000 0.000 0.000
Sc1 Sc 0.167 0.500 0.667
H1 H 0.000 0.250 0.500
H2 H 0.166 0.250 0.166
```

No. 8
Material: K4NiBr6
Method: DFT, PBE-GGA
State: relaxed

## Properties
Raw total energy = -3.1602 eV per atom

The structure in CIF format:
```
data_K4NiBr6
_chemical_formula_sum 'K8 Ni2 Br12'
_cell_length_a 9.005
_cell_length_b 9.005
_cell_length_c 9.293
_cell_angle_alpha 90.00
_cell_angle_beta 90.00
_cell_angle_gamma 90.00
_symmetry_space_group_name_H-M 'P 4/m n c'
_symmetry_Int_Tables_number 128
_symmetry_space_group_name_Hall '-P 4 2n'
loop_
_atom_site_label
_atom_site_type_symbol
_atom_site_fract_x
_atom_site_fract_y
_atom_site_fract_z
K1 K 0.178 0.322 0.250
Ni1 Ni 0.000 0.000 0.000
Br1 Br 0.000 0.000 0.274
Br2 Br 0.081 0.714 0.000
```

No. 9
Material: NaNdBiPd
Method: DFT, PBE-GGA
State: relaxed

## Properties
Energy of formation from the pure elements = -0.49 eV per atom

The structure in CIF format:
```
data_NaNdBiPd
_chemical_formula_sum 'Na4 Nd4 Bi4 Pd4'
_cell_length_a 7.434
_cell_length_b 7.434
_cell_length_c 7.434
_cell_angle_alpha 90.00
_cell_angle_beta 90.00
_cell_angle_gamma 90.00
_symmetry_space_group_name_H-M 'F -4 3 m'
_symmetry_Int_Tables_number 216
_symmetry_space_group_name_Hall 'F -4 2 3'
loop_
_atom_site_label
_atom_site_type_symbol
_atom_site_fract_x
_atom_site_fract_y
_atom_site_fract_z
Na1 Na 0.000 0.000 0.000
Nd1 Nd 0.000 0.000 0.500
Bi1 Bi 0.250 0.250 0.250
Pd1 Pd 0.250 0.250 0.750
```

No. 10
Material: HfCrPt3
Method: DFT, PBE-GGA
State: relaxed

## Properties
Energy of formation from the pure elements = 1.19 eV per atom
Distance to the lowest polymorph of the same formula = 16.78 kcal/mol of atoms

The structure in CIF format:
```
data_HfCrPt3
_chemical_formula_sum 'Hf1 Cr1 Pt3'
_cell_length_a 4.867
_cell_length_b 4.867
_cell_length_c 4.867
_cell_angle_alpha 90.00
_cell_angle_beta 90.00
_cell_angle_gamma 90.00
_symmetry_space_group_name_H-M 'P m -3 m'
_symmetry_Int_Tables_number 221
_symmetry_space_group_name_Hall '-P 4 2 3'
loop_
_atom_site_label
_atom_site_type_symbol
_atom_site_fract_x
_atom_site_fract_y
_atom_site_fract_z
Hf1 Hf 0.000 0.000 0.000
Cr1 Cr 0.500 0.500 0.500
Pt1 Pt 0.000 0.000 0.500
```

No. 11
Material: YMgCu
Method: DFT, PBE-GGA
State: relaxed

## Properties
Energy of formation from the pure elements = 0.53 eV per atom
Distance to the lowest polymorph of the same formula = 17.27 kcal/mol of atoms

The structure in CIF format:
```
data_YMgCu
_chemical_formula_sum 'Y4 Mg4 Cu4'
_cell_length_a 6.819
_cell_length_b 6.819
_cell_length_c 6.819
_cell_angle_alpha 90.00
_cell_angle_beta 90.00
_cell_angle_gamma 90.00
_symmetry_space_group_name_H-M 'F -4 3 m'
_symmetry_Int_Tables_number 216
_symmetry_space_group_name_Hall 'F -4 2 3'
loop_
_atom_site_label
_atom_site_type_symbol
_atom_site_fract_x
_atom_site_fract_y
_atom_site_fract_z
Y1 Y 0.000 0.000 0.000
Mg1 Mg 0.250 0.250 0.250
Cu1 Cu 0.250 0.250 0.750
```

No. 12
Material: BRu2S
Method: DFT, PBE-GGA
State: relaxed

## Properties
Distance to the lowest polymorph of the same formula = 5.38 kcal/mol of atoms

The structure in CIF format:
```
data_BRu2S
_chemical_formula_sum 'B4 Ru8 S4'
_cell_length_a 5.685
_cell_length_b 5.685
_cell_length_c 5.685
_cell_angle_alpha 90.00
_cell_angle_beta 90.00
_cell_angle_gamma 90.00
_symmetry_space_group_name_H-M 'F m -3 m'
_symmetry_Int_Tables_number 225
_symmetry_space_group_name_Hall '-F 4 2 3'
loop_
_atom_site_label
_atom_site_type_symbol
_atom_site_fract_x
_atom_site_fract_y
_atom_site_fract_z
B1 B 0.000 0.000 0.000
Ru1 Ru 0.250 0.250 0.250
S1 S 0.000 0.000 0.500
```

No. 13
Material: CdIn2Ir
Method: DFT, PBE-GGA
State: relaxed

## Properties
Energy of formation from the pure elements = 0.10 eV per atom

The structure in CIF format:
```
data_CdIn2Ir
_chemical_formula_sum 'Cd1 In2 Ir1'
_cell_length_a 3.746
_cell_length_b 3.746
_cell_length_c 5.745
_cell_angle_alpha 90.00
_cell_angle_beta 90.00
_cell_angle_gamma 90.00
_symmetry_space_group_name_H-M 'P 4 m m'
_symmetry_Int_Tables_number 99
loop_
_symmetry_equiv_pos_as_xyz
'x,y,z'
'-y,x,z'
'-x,-y,z'
'y,-x,z'
'-x,y,z'
'y,x,z'
'x,-y,z'
'-y,-x,z'
loop_
_atom_site_label
_atom_site_type_symbol
_atom_site_fract_x
_atom_site_fract_y
_atom_site_fract_z
Cd1 Cd 0.000 0.000 0.000
In1 In 0.000 0.000 0.531
In2 In 0.500 0.500 0.240
Ir1 Ir 0.500 0.500 0.736
```